Entry 1:
# PBE-GGA LiAlAg2F6, relaxed
# Energy relative to the elements, uncorrected, meV per atom: -2422
# Calculated total energy, eV per atom: -4.681
# Calculated volume, Å³/cell: 237
data_LiAlAg2F6
_cell_length_a 5.518
_cell_length_b 5.538
_cell_length_c 9.523
_cell_angle_alpha 90.00
_cell_angle_beta 125.37
_cell_angle_gamma 90.00
_symmetry_space_group_name_H-M 'P 1 21/c 1'
_symmetry_Int_Tables_number 14
loop_
_symmetry_equiv_pos_as_xyz
'x,y,z'
'-x,-y,-z'
'-x,y+1/2,-z+1/2'
'x,-y+1/2,z+1/2'
loop_
_atom_site_label
_atom_site_type_symbol
_atom_site_fract_x
_atom_site_fract_y
_atom_site_fract_z
Li1 Li 0.000 0.000 0.000
Al1 Al 0.500 0.000 0.500
Ag1 Ag 0.253 0.003 0.750
F1 F 0.211 0.002 0.266
F2 F 0.290 0.729 0.028
F3 F 0.301 0.240 0.528

=====

Entry 2:
# PBE-GGA MgAlAgF6, relaxed
# Energy relative to the elements, uncorrected, meV per atom: -2977
# Calculated total energy, eV per atom: -5.135
# Calculated volume, Å³/cell: 245
data_MgAlAgF6
_cell_length_a 5.1865
_cell_length_b 5.1865
_cell_length_c 10.5214
_cell_angle_alpha 90.00
_cell_angle_beta 90.00
_cell_angle_gamma 120.00
_symmetry_space_group_name_H-M 'P -3 1 c'
_symmetry_Int_Tables_number 163
_symmetry_space_group_name_Hall '-P 3 2c'
loop_
_atom_site_label
_atom_site_type_symbol
_atom_site_fract_x
_atom_site_fract_y
_atom_site_fract_z
Mg1 Mg 0.3333 0.6667 0.2500
Al1 Al 0.3333 0.6667 0.7500
Ag1 Ag 0.0000 0.0000 0.0000
F1 F 0.0257 0.3886 0.6525